(1)
Entry from the Alexandria database: Tb6In2C after structural relaxation (PBE-GGA).

Output
ΔH_f (0 K) = -0.19 eV/atom
relative energy among the computed polymorphs = 203 meV per atom

Cell: 3.5990 15.1000 8.7161 Å, 90.00 90.00 90.00°
Space group Amm2 (No. 38)
Unique sites:
1 Tb 0.0000 0.0000 0.0000 x2
2 Tb 0.0000 0.1076 0.6769 x4
3 Tb 0.5000 0.0000 0.3759 x2
4 Tb 0.5000 0.2046 0.9885 x4
5 In 0.0000 0.1665 0.2840 x4
6 C 0.5000 0.0000 0.7849 x2


(2)
Entry from the Alexandria database: KRb3Sb after structural relaxation (PBE-GGA).

Output
relative energy among the computed polymorphs = 572 meV per atom
formation energy without anion corrections = 43.0 kJ per mole of atoms

Cell: 7.0639 7.0639 7.0639 Å, 90.00 90.00 90.00°
Space group Pm-3m (No. 221)
Unique sites:
1 K 0.0000 0.0000 0.0000 x1
2 Rb 0.0000 0.0000 0.5000 x3
3 Sb 0.5000 0.5000 0.5000 x1


(3)
Entry from the Alexandria database: KPm2Th after structural relaxation (PBE-GGA).

Output
ΔH_f (0 K) = 0.19 eV/atom

Cell: 3.6533 3.6533 40.0637 Å, 90.00 90.00 120.00°
Space group R-3m (No. 166, hexagonal axes)
Unique sites:
1 K 0.0000 0.0000 0.0000 x3
2 Pm 0.0000 0.0000 0.0962 x6
3 Th 0.0000 0.0000 0.5000 x3


What are the DOS at the Fermi energy values for these records? In order: 17.07; 5.67; 13.51 states/eV/cell.